## one
A relaxed LaDyPd crystal, computed with PBE.

Geometry as extended XYZ:
```
3
Lattice="4.8023 0.0000 0.0000 -2.4012 4.1589 0.0000 0.0000 0.0000 4.1370" Properties=species:S:1:pos:R:3 pbc="T T T"
La 0.0000 0.0000 0.0000
Dy 0.0000 2.7726 2.1738
Pd 2.4012 1.3863 1.5414
```

Output
**M_tot**: 0.0 Bohr magnetons per cell

## two
A relaxed LaDyPd crystal, computed with PBE.

Geometry as extended XYZ:
```
6
Lattice="5.6679 0.0000 0.0000 0.0000 4.8689 0.0000 -1.7456 0.0000 6.3405" Properties=species:S:1:pos:R:3 pbc="T T T"
La -0.0148 1.2172 1.7130
La 3.9371 3.6517 4.6275
Dy 1.1310 1.2172 5.1256
Dy 2.7913 3.6517 1.2149
Pd 1.0544 3.6517 3.5630
Pd 2.8678 1.2172 2.7775
```

Output
**M_tot**: 0.0 Bohr magnetons per cell

## three
A relaxed LaDyPd crystal, computed with PBE.

Geometry as extended XYZ:
```
6
Lattice="2.9094 -2.9089 0.0000 2.9094 2.9089 0.0000 -2.8941 0.0000 10.2702" Properties=species:S:1:pos:R:3 pbc="T T T"
La 1.4624 2.1762 5.1351
La 2.9094 -2.1762 0.0000
Dy 0.0144 0.7296 8.1716
Dy 1.4614 -0.7296 3.0365
Pd 2.9047 0.7364 1.0675
Pd 1.4577 -0.7364 6.2026
```

Output
**M_tot**: 0.0 Bohr magnetons per cell

Energy ordering: two at the bottom, the next structure 98 meV/atom above.

## one
A relaxed LaDyPd crystal, computed with PBE.

Geometry as extended XYZ:
```
12
Lattice="7.3437 0.0000 0.0000 0.0000 6.5021 0.0000 -2.2555 0.0000 7.1151" Properties=species:S:1:pos:R:3 pbc="T T T"
La 0.1805 0.8674 2.5801
La -0.9473 2.3836 6.1376
La 6.0354 4.1184 0.9775
La 4.9077 5.6347 4.5351
Dy 2.4570 4.2876 2.1179
Dy 1.3292 5.4656 5.6754
Dy 3.7589 1.0365 1.4397
Dy 2.6312 2.2145 4.9973
Pd 0.1796 3.8388 3.6998
Pd 1.3074 5.9143 0.1422
Pd 3.7807 0.5878 6.9729
Pd 4.9085 2.6632 3.4153
```

Output
**M_tot**: 0.0 Bohr magnetons per cell

## two
A relaxed LaDyPd crystal, computed with PBE.

Geometry as extended XYZ:
```
3
Lattice="-1.8078 1.8078 6.3487 1.8078 -1.8078 6.3487 1.8078 1.8078 -6.3487" Properties=species:S:1:pos:R:3 pbc="T T T"
La 0.0000 0.0000 0.0000
Dy 0.0000 0.0000 3.4558
Pd 0.0000 0.0000 8.3206
```

Output
**M_tot**: 0.0 Bohr magnetons per cell

Energy ordering: one at the bottom, the next structure 58 meV/atom above.

## one
A relaxed La2DyPd crystal, computed with PBE.

Geometry as extended XYZ:
```
4
Lattice="1.8682 1.0786 10.7512 -1.8682 1.0786 10.7512 0.0000 -2.1572 10.7512" Properties=species:S:1:pos:R:3 pbc="T T T"
La 0.0000 0.0000 3.3748
La 0.0000 0.0000 28.8789
Dy 0.0000 0.0000 0.0000
Pd 0.0000 0.0000 16.1269
```

Output
**M_tot**: 0.0 Bohr magnetons per cell

## two
A relaxed La2DyPd crystal, computed with PBE.

Geometry as extended XYZ:
```
4
Lattice="1.9539 1.1281 9.6396 -1.9539 1.1281 9.6396 0.0000 -2.2562 9.6396" Properties=species:S:1:pos:R:3 pbc="T T T"
La 0.0000 0.0000 0.0000
La 0.0000 0.0000 5.7775
Dy 0.0000 0.0000 12.5059
Pd 0.0000 0.0000 17.3556
```

Output
**M_tot**: 0.0 Bohr magnetons per cell

Energy ordering: two at the bottom, the next structure 192 meV/atom above.